In2TcHgGe: optimized geometry, PBE-GGA.

- energy (eV for the cell shown) = -16.94
- DOS at the Fermi energy (states/eV/cell) = 4.2
- ΔE_f (kJ/mol of atoms) = 73.8
- size of the total moment (μB/f.u.) = 1.16

Lattice parameters (Å, degrees): 5.189 5.275 5.189 90.00 90.00 90.00
Fractional positions:
In1 0.000 0.000 0.500
In2 0.500 0.000 0.000
Ge1 0.500 0.500 0.500
Tc1 0.000 0.000 0.000
Hg1 0.000 0.500 0.000